DFT (GGA-PBEsol) results for a geometry-optimized Ba2SrRh structure.

Geometry as CIF:
```
data_Ba2SrRh
_chemical_formula_sum 'Ba6 Sr3 Rh3'
_symmetry_space_group_name_H-M 'R -3 m'
_symmetry_Int_Tables_number 166
_symmetry_space_group_name_Hall '-R 3 2"'
_cell_length_a 4.3552
_cell_length_b 4.3552
_cell_length_c 32.0569
_cell_angle_alpha 90.00
_cell_angle_beta 90.00
_cell_angle_gamma 120.00
loop_
_atom_site_label
_atom_site_fract_x
_atom_site_fract_y
_atom_site_fract_z
Ba1 0.0000 0.0000 0.2187
Sr1 0.0000 0.0000 0.0000
Rh1 0.0000 0.0000 0.5000
```

Computed properties:
For the raw total energy, the calculation gives -3.570 eV/atom. As for the energy relative to the lowest polymorph listed for this composition: 62.5 meV/atom. Its crystal system is trigonal. The calculation puts the formation energy at -0.001 eV per atom. For the density of states at the Fermi level, the calculation gives 3.1 states/eV/f.u.